{"formula": "NdGdDyAg", "functional": "GGA-PBE", "state": "relaxed", "lattice": [[0.000, 3.840, 3.840], [3.840, 0.000, 3.840], [3.840, 3.840, 0.000]], "species": ["Nd", "Gd", "Dy", "Ag"], "fractional_positions": [[0.000, 0.000, 0.000], [0.750, 0.750, 0.750], [0.500, 0.500, 0.500], [0.250, 0.250, 0.250]], "crystal_system": "cubic", "total_magnetization_mub_per_cell": 8.003, "mass_density_g_cm3": 8.386, "ef_ev_per_fu": 0.27, "space_group": "F-43m, No. 216"}

=====

{"formula": "GdDyAgOs", "functional": "GGA-PBE", "state": "relaxed", "lattice": [[0.000, 3.515, 3.515], [3.515, 0.000, 3.515], [3.515, 3.515, 0.000]], "species": ["Gd", "Dy", "Ag", "Os"], "fractional_positions": [[0.000, 0.000, 0.000], [0.500, 0.500, 0.500], [0.250, 0.250, 0.250], [0.750, 0.750, 0.750]], "crystal_system": "cubic", "total_magnetization_mub_per_cell": 7.219, "mass_density_g_cm3": 11.812, "ef_ev_per_fu": -0.97, "space_group": "F-43m, No. 216"}

=====

{"formula": "PrGdDyAg", "functional": "GGA-PBE", "state": "relaxed", "lattice": [[0.000, 3.866, 3.866], [3.866, 0.000, 3.866], [3.866, 3.866, 0.000]], "species": ["Pr", "Gd", "Dy", "Ag"], "fractional_positions": [[0.000, 0.000, 0.000], [0.500, 0.500, 0.500], [0.250, 0.250, 0.250], [0.750, 0.750, 0.750]], "crystal_system": "cubic", "total_magnetization_mub_per_cell": 7.622, "mass_density_g_cm3": 8.171, "ef_ev_per_fu": 0.25, "space_group": "F-43m, No. 216"}

=====

{"formula": "GdDyAgPt", "functional": "GGA-PBE", "state": "relaxed", "lattice": [[0.000, 3.570, 3.570], [3.570, 0.000, 3.570], [3.570, 3.570, 0.000]], "species": ["Gd", "Dy", "Ag", "Pt"], "fractional_positions": [[0.000, 0.000, 0.000], [0.500, 0.500, 0.500], [0.750, 0.750, 0.750], [0.250, 0.250, 0.250]], "crystal_system": "cubic", "total_magnetization_mub_per_cell": 7.114, "mass_density_g_cm3": 11.363, "ef_ev_per_fu": -3.04, "space_group": "F-43m, No. 216"}

=====

{"formula": "GdDyAgRu", "functional": "GGA-PBE", "state": "relaxed", "lattice": [[0.000, 3.524, 3.524], [3.524, 0.000, 3.524], [3.524, 3.524, 0.000]], "species": ["Gd", "Dy", "Ag", "Ru"], "fractional_positions": [[0.000, 0.000, 0.000], [0.500, 0.500, 0.500], [0.250, 0.250, 0.250], [0.750, 0.750, 0.750]], "crystal_system": "cubic", "total_magnetization_mub_per_cell": 7.177, "mass_density_g_cm3": 10.032, "ef_ev_per_fu": -1.28, "space_group": "F-43m, No. 216"}

=====

{"formula": "GdDyAgSb", "functional": "GGA-PBE", "state": "relaxed", "lattice": [[0.000, 3.715, 3.715], [3.715, 0.000, 3.715], [3.715, 3.715, 0.000]], "species": ["Gd", "Dy", "Ag", "Sb"], "fractional_positions": [[0.000, 0.000, 0.000], [0.500, 0.500, 0.500], [0.750, 0.750, 0.750], [0.250, 0.250, 0.250]], "crystal_system": "cubic", "raw_formation_energy_ev_per_atom": -0.58, "total_magnetization_mub_per_cell": 8.126, "mass_density_g_cm3": 8.899, "space_group": "F-43m, No. 216"}

=====

{"formula": "GdDySiAg", "functional": "GGA-PBE", "state": "relaxed", "lattice": [[0.000, 3.581, 3.581], [3.581, 0.000, 3.581], [3.581, 3.581, 0.000]], "species": ["Gd", "Dy", "Si", "Ag"], "fractional_positions": [[0.000, 0.000, 0.000], [0.500, 0.500, 0.500], [0.250, 0.250, 0.250], [0.750, 0.750, 0.750]], "crystal_system": "cubic", "raw_formation_energy_ev_per_atom": -0.45, "total_magnetization_mub_per_cell": 7.779, "mass_density_g_cm3": 8.236, "space_group": "F-43m, No. 216"}

=====

{"formula": "TbGdDyAg", "functional": "GGA-PBE", "state": "relaxed", "lattice": [[0.000, 3.799, 3.799], [3.799, 0.000, 3.799], [3.799, 3.799, 0.000]], "species": ["Tb", "Gd", "Dy", "Ag"], "fractional_positions": [[0.000, 0.000, 0.000], [0.250, 0.250, 0.250], [0.500, 0.500, 0.500], [0.750, 0.750, 0.750]], "crystal_system": "cubic", "total_magnetization_mub_per_cell": 8.007, "mass_density_g_cm3": 8.879, "ef_ev_per_fu": 0.27, "space_group": "F-43m, No. 216"}

=====

{"formula": "GdDyTcAg", "functional": "GGA-PBE", "state": "relaxed", "lattice": [[0.000, 3.529, 3.529], [3.529, 0.000, 3.529], [3.529, 3.529, 0.000]], "species": ["Gd", "Dy", "Tc", "Ag"], "fractional_positions": [[0.000, 0.000, 0.000], [0.500, 0.500, 0.500], [0.750, 0.750, 0.750], [0.250, 0.250, 0.250]], "crystal_system": "cubic", "total_magnetization_mub_per_cell": 7.064, "mass_density_g_cm3": 9.928, "ef_ev_per_fu": -0.40, "space_group": "F-43m, No. 216"}

=====

{"formula": "DyAgGe", "functional": "GGA-PBE", "state": "relaxed", "lattice": [[-1.727, 1.727, 5.400], [1.727, -1.727, 5.400], [1.727, 1.727, -5.400]], "species": ["Dy", "Ag", "Ge"], "fractional_positions": [[0.000, 0.000, 0.000], [0.318, 0.318, 0.000], [0.676, 0.676, 0.000]], "crystal_system": "tetragonal", "total_magnetization_mub_per_cell": 0.000, "mass_density_g_cm3": 8.837, "ef_ev_per_fu": -0.76, "space_group": "I4mm, No. 107"}

=====

{"formula": "Dy2AgGe", "functional": "GGA-PBE", "state": "relaxed", "lattice": [[5.989, 0.000, 0.000], [0.000, 4.395, 0.000], [-2.701, 0.000, 7.334]], "species": ["Dy", "Dy", "Dy", "Dy", "Ag", "Ag", "Ge", "Ge"], "fractional_positions": [[0.205, 0.250, 0.426], [0.218, 0.250, 0.931], [0.782, 0.750, 0.069], [0.795, 0.750, 0.574], [0.343, 0.750, 0.214], [0.657, 0.250, 0.786], [0.329, 0.750, 0.709], [0.671, 0.250, 0.291]], "crystal_system": "monoclinic", "total_magnetization_mub_per_cell": 0.000, "mass_density_g_cm3": 8.698, "ef_ev_per_fu": -2.27, "space_group": "P2_1/m, No. 11"}

=====

{"formula": "DyAgGe", "functional": "GGA-PBE", "state": "relaxed", "lattice": [[-2.081, 2.081, 7.390], [2.081, -2.081, 7.390], [2.081, 2.081, -7.390]], "species": ["Dy", "Dy", "Ag", "Ag", "Ge", "Ge"], "fractional_positions": [[0.169, 0.169, 0.000], [0.831, 0.831, 0.000], [0.000, 0.500, 0.500], [0.500, 0.000, 0.500], [0.371, 0.371, 0.000], [0.629, 0.629, 0.000]], "crystal_system": "tetragonal", "total_magnetization_mub_per_cell": 0.000, "mass_density_g_cm3": 8.897, "ef_ev_per_fu": -1.55, "space_group": "I4/mmm, No. 139"}

=====

{"formula": "DyAgGe", "functional": "GGA-PBE", "state": "relaxed", "lattice": [[4.508, 0.000, 0.000], [-2.254, 3.904, 0.000], [0.000, 0.000, 3.594]], "species": ["Dy", "Ag", "Ge"], "fractional_positions": [[0.000, 0.000, 0.000], [0.333, 0.667, 0.500], [0.667, 0.333, 0.500]], "crystal_system": "hexagonal", "total_magnetization_mub_per_cell": 0.000, "mass_density_g_cm3": 9.007, "ef_ev_per_fu": -1.60, "space_group": "P-6m2, No. 187"}

=====

{"formula": "DyAgGe", "functional": "GGA-PBE", "state": "relaxed", "lattice": [[7.161, 0.000, 0.000], [-3.580, 6.201, 0.000], [0.000, 0.000, 4.227]], "species": ["Dy", "Dy", "Dy", "Ag", "Ag", "Ag", "Ge", "Ge", "Ge"], "fractional_positions": [[0.000, 0.583, 0.000], [0.417, 0.417, 0.000], [0.583, 0.000, 0.000], [0.000, 0.251, 0.500], [0.251, 0.000, 0.500], [0.749, 0.749, 0.500], [0.000, 0.000, 0.000], [0.333, 0.667, 0.500], [0.667, 0.333, 0.500]], "crystal_system": "hexagonal", "total_magnetization_mub_per_cell": 0.000, "mass_density_g_cm3": 9.103, "ef_ev_per_fu": -1.96, "space_group": "P-62m, No. 189"}

=====

{"formula": "DyAgGe", "functional": "GGA-PBE", "state": "relaxed", "lattice": [[7.382, 0.000, 0.000], [-3.691, 6.393, 0.000], [0.000, 0.000, 4.088]], "species": ["Dy", "Dy", "Dy", "Ag", "Ag", "Ag", "Ge", "Ge", "Ge"], "fractional_positions": [[0.000, 0.605, 0.000], [0.395, 0.395, 0.000], [0.605, 0.000, 0.000], [0.000, 0.000, 0.000], [0.333, 0.667, 0.500], [0.667, 0.333, 0.500], [0.000, 0.267, 0.500], [0.267, 0.000, 0.500], [0.733, 0.733, 0.500]], "crystal_system": "hexagonal", "total_magnetization_mub_per_cell": 0.000, "mass_density_g_cm3": 8.857, "ef_ev_per_fu": -1.23, "space_group": "P-62m, No. 189"}